Entry from Alexandria via LeMat-Bulk: As2PBr at its PBEsol-relaxed geometry (SCAN).

POSCAR file:
```
As2PBr
1.0
3.5569 0.0000 0.0000
1.7785 3.0804 0.0000
1.7785 1.0268 7.2765
As Br P
2 1 1
Direct
0.2351 0.2351 0.2948 As
0.7649 0.7649 0.7052 As
0.0000 0.0000 0.0000 Br
0.5000 0.5000 0.5000 P
```

Output
crystal system: trigonal
DFT total energy: -17.290 eV per atom
V: 79.7 Å³ per cell
total magnetic moment: 0.00 μB per formula unit
raw formation energy: 0.269 eV/atom

Entry from Alexandria via LeMat-Bulk: As2PPbBr at its PBEsol-relaxed geometry (SCAN).

POSCAR file:
```
As2PPbBr
1.0
-0.9454 4.6234 -0.8633
-2.9984 -1.2709 -3.5227
-3.8509 -0.1643 3.3370
P Br As Pb
1 1 2 1
Direct
0.0000 0.0000 0.0000 P
0.0000 0.0000 0.5000 Br
0.0000 0.5000 0.0000 As
0.5000 0.0000 0.0000 As
0.5000 0.5000 0.5000 Pb
```

Output
crystal system: tetragonal
DFT total energy: -28.778 eV per atom
V: 117.3 Å³ per cell
total magnetic moment: 0.00 μB per formula unit
raw formation energy: 0.426 eV/atom

Entry from Alexandria via LeMat-Bulk: As2PSeBr at its PBEsol-relaxed geometry (SCAN).

POSCAR file:
```
As2PSeBr
1.0
4.6821 0.0000 0.0000
0.0000 4.8663 0.0000
0.0000 0.0000 4.8663
P As Br Se
1 2 1 1
Direct
0.0000 0.0000 0.0000 P
0.0000 0.0000 0.5000 As
0.0000 0.5000 0.0000 As
0.5000 0.0000 0.0000 Br
0.5000 0.5000 0.5000 Se
```

Output
crystal system: tetragonal
DFT total energy: -17.283 eV per atom
V: 110.9 Å³ per cell
total magnetic moment: 0.53 μB per formula unit
raw formation energy: 0.780 eV/atom

Entry from Alexandria via LeMat-Bulk: AsPSeBr2 at its PBEsol-relaxed geometry (SCAN).

POSCAR file:
```
AsPSeBr2
1.0
-3.3025 2.5890 -2.8536
-0.8454 -4.1537 -2.7901
-3.9123 -1.3949 3.2622
P As Br Se
1 1 2 1
Direct
0.5000 0.5000 0.5000 P
0.0000 0.0000 0.5000 As
0.0000 0.5000 0.0000 Br
0.5000 0.0000 0.0000 Br
0.0000 0.0000 0.0000 Se
```

Output
crystal system: tetragonal
DFT total energy: -17.045 eV per atom
V: 136.0 Å³ per cell
total magnetic moment: 0.95 μB per formula unit
raw formation energy: 0.872 eV/atom

Entry from Alexandria via LeMat-Bulk: ZnAsPBr2 at its PBEsol-relaxed geometry (SCAN).

POSCAR file:
```
ZnAsPBr2
1.0
4.8729 0.0000 0.0000
0.0000 4.9920 0.0000
0.0000 0.0000 4.9920
As Br P Zn
1 2 1 1
Direct
0.5000 0.0000 0.0000 As
0.0000 0.0000 0.5000 Br
0.0000 0.5000 0.0000 Br
0.0000 0.0000 0.0000 P
0.5000 0.5000 0.5000 Zn
```

Output
crystal system: tetragonal
DFT total energy: -16.078 eV per atom
V: 121.4 Å³ per cell
total magnetic moment: 0.00 μB per formula unit
raw formation energy: 0.527 eV/atom

Entry from Alexandria via LeMat-Bulk: AsPbBr2 at its PBEsol-relaxed geometry (SCAN).

POSCAR file:
```
AsPbBr2
1.0
3.4874 0.0000 0.0000
1.7437 3.0202 0.0000
1.7437 1.0067 10.0567
As Br Pb
1 2 1
Direct
0.0000 0.0000 0.0000 As
0.0846 0.0846 0.7463 Br
0.9154 0.9154 0.2537 Br
0.5000 0.5000 0.5000 Pb
```

Output
crystal system: trigonal
DFT total energy: -33.799 eV per atom
V: 105.9 Å³ per cell
energy above the lowest structure with this stoichiometry: 0 meV/atom
total magnetic moment: 0.00 μB per formula unit
raw formation energy: -0.076 eV/atom

- Among the records above, which one has the highest raw formation energy?
  AsPSeBr2